Entry 1:
TeP4Os: relaxed, PBE-GGA.

Lattice parameters (Å, degrees): 5.158 5.158 5.158 60.00 60.00 60.00
Positions (direct):
P1 0.377 0.377 0.377
P2 0.870 0.377 0.377
P3 0.377 0.377 0.870
P4 0.377 0.870 0.377
Te1 0.750 0.750 0.750
Os1 0.000 0.000 0.000

Results
V in Å³ per atom: 16.17
E in eV per atom: -4.8129

Entry 2:
TePOs2: relaxed, PBE-GGA.

Lattice parameters (Å, degrees): 5.481 5.481 6.857 66.44 66.44 90.00
Positions (direct):
Os1 0.575 0.125 0.250
Os2 0.375 0.425 0.750
Os3 0.175 0.625 0.250
Os4 0.875 0.825 0.750
P1 0.250 0.750 0.500
P2 0.500 0.500 0.000
Te1 0.750 0.250 0.500
Te2 0.000 0.000 0.000

Results
V in Å³ per atom: 21.24
E in eV per atom: -7.3962

Entry 3:
TePOs2: relaxed, PBE-GGA.

Lattice parameters (Å, degrees): 4.473 4.473 4.473 60.00 60.00 60.00
Positions (direct):
Os1 0.750 0.750 0.750
Os2 0.250 0.250 0.250
P1 0.000 0.000 0.000
Te1 0.500 0.500 0.500

Results
V in Å³ per atom: 15.82
E in eV per atom: -7.0097

Entry 4:
TePOs2: relaxed, PBE-GGA.

Lattice parameters (Å, degrees): 4.303 4.303 5.703 82.70 82.70 42.57
Positions (direct):
Os1 0.756 0.756 0.634
Os2 0.009 0.009 0.968
Te1 0.267 0.267 0.223
P1 0.467 0.467 0.675

Results
V in Å³ per atom: 17.69
E in eV per atom: -7.5450

Entry 5:
TePOs4: relaxed, PBE-GGA.

Lattice parameters (Å, degrees): 5.266 5.266 5.266 60.00 60.00 60.00
Positions (direct):
Os1 0.126 0.625 0.625
Os2 0.625 0.126 0.625
Os3 0.625 0.625 0.625
Os4 0.625 0.625 0.126
Te1 0.000 0.000 0.000
P1 0.250 0.250 0.250

Results
V in Å³ per atom: 17.21
E in eV per atom: -7.6760

Entry 6:
TePOs: relaxed, PBE-GGA.

Lattice parameters (Å, degrees): 3.700 3.700 6.114 90.00 90.00 120.00
Positions (direct):
P1 0.667 0.333 0.184
Te1 0.333 0.667 0.759
Os1 0.000 0.000 0.058

Results
V in Å³ per atom: 24.16
E in eV per atom: -6.5315

Entry 7:
TePOs: relaxed, PBE-GGA.

Lattice parameters (Å, degrees): 6.217 6.237 6.368 67.16 90.00 90.00
Positions (direct):
Os1 0.481 0.249 0.287
Os2 0.981 0.751 0.213
Os3 0.519 0.751 0.713
Os4 0.019 0.249 0.787
P1 0.865 0.637 0.608
P2 0.365 0.363 0.892
P3 0.135 0.363 0.392
P4 0.635 0.637 0.108
Te1 0.875 0.166 0.195
Te2 0.375 0.834 0.305
Te3 0.625 0.166 0.695
Te4 0.125 0.834 0.805

Results
V in Å³ per atom: 18.96
E in eV per atom: -6.7303

Entry 8:
TePOs2: relaxed, PBE-GGA.

Lattice parameters (Å, degrees): 8.068 8.068 8.068 21.82 21.82 21.82
Positions (direct):
Os1 0.239 0.239 0.239
Os2 0.761 0.761 0.761
Te1 0.000 0.000 0.000
P1 0.500 0.500 0.500

Results
V in Å³ per atom: 15.90
E in eV per atom: -7.2867

Entry 9:
TePOs2: relaxed, PBE-GGA.

Lattice parameters (Å, degrees): 3.583 3.006 6.640 77.49 90.00 90.00
Positions (direct):
P1 0.500 0.500 0.000
Os1 0.000 0.171 0.182
Os2 0.000 0.829 0.818
Te1 0.500 0.500 0.500

Results
V in Å³ per atom: 17.46
E in eV per atom: -7.1156

Entry 10:
TePOs2: relaxed, PBE-GGA.

Lattice parameters (Å, degrees): 4.414 4.414 3.264 90.00 90.00 90.00
Positions (direct):
Os1 0.000 0.500 0.000
Os2 0.500 0.000 0.000
P1 0.500 0.500 0.500
Te1 0.000 0.000 0.500

Results
V in Å³ per atom: 15.90
E in eV per atom: -6.9803

Entry 11:
TePOs2: relaxed, PBE-GGA.

Lattice parameters (Å, degrees): 3.870 3.870 6.570 81.89 81.89 45.19
Positions (direct):
Te1 0.500 0.500 0.000
Os1 0.267 0.267 0.672
Os2 0.733 0.733 0.328
P1 0.000 0.000 0.500

Results
V in Å³ per atom: 17.24
E in eV per atom: -7.4229

Entry 12:
Th6TeP2Os3: relaxed, PBE-GGA.

Lattice parameters (Å, degrees): 4.141 8.643 9.539 105.78 102.54 90.00
Positions (direct):
Os1 0.835 0.172 0.671
Os2 0.165 0.828 0.329
Os3 0.500 0.500 0.000
Te1 0.500 0.000 0.000
Th1 0.666 0.591 0.331
Th2 0.334 0.409 0.669
Th3 0.681 0.078 0.361
Th4 0.998 0.281 0.997
Th5 0.002 0.719 0.003
Th6 0.319 0.922 0.639
P1 0.167 0.332 0.334
P2 0.833 0.668 0.666

Results
V in Å³ per atom: 26.67
E in eV per atom: -8.4510

Entry 13:
Th8Te4POs3: relaxed, PBE-GGA.

Lattice parameters (Å, degrees): 8.467 9.027 8.467 117.97 120.00 90.00
Positions (direct):
Th1 0.760 0.297 0.037
Th2 0.277 0.297 0.037
Th3 0.760 0.297 0.520
Th4 0.240 0.703 0.480
Th5 0.267 0.300 0.534
Th6 0.240 0.703 0.963
Th7 0.733 0.700 0.466
Th8 0.723 0.703 0.963
Te1 0.000 0.000 0.500
Te2 0.000 0.000 0.000
Te3 0.500 0.000 0.000
Te4 0.500 0.000 0.500
Os1 0.500 0.500 0.000
Os2 0.000 0.500 0.500
Os3 0.500 0.500 0.500
P1 0.000 0.500 0.000

Results
V in Å³ per atom: 29.44
E in eV per atom: -7.8803

Entry 14:
Th6Te3P2Os: relaxed, PBE-GGA.

Lattice parameters (Å, degrees): 4.175 8.978 9.843 106.01 102.24 90.00
Positions (direct):
Th1 0.993 0.784 0.986
Th2 0.343 0.893 0.685
Th3 0.007 0.216 0.014
Th4 0.324 0.441 0.648
Th5 0.657 0.107 0.315
Th6 0.676 0.559 0.352
Os1 0.500 0.000 0.000
Te1 0.500 0.500 0.000
Te2 0.832 0.168 0.663
Te3 0.168 0.832 0.337
P1 0.167 0.335 0.334
P2 0.833 0.665 0.666

Results
V in Å³ per atom: 28.82
E in eV per atom: -7.5077